DFT (GGA-PBE) results for a relaxed structure of Nd7RhBr12.

Results
Its energy relative to the elements, uncorrected is -32.392 eV/f.u. For the energy, the calculation gives -4.660 eV/atom. As for the theoretical density: 4.75 Mg/m³.

The structure in extended XYZ format:
```
20
Lattice="9.154 -0.119 -2.732 -3.635 8.402 -2.732 -0.079 -0.119 9.552" Properties=species:S:1:pos:R:3 pbc="T T T"
Rh 0.000 0.000 0.000
Br 3.637 4.300 4.826
Br 3.756 7.650 -1.629
Br 1.793 6.868 2.151
Br 1.683 0.514 5.717
Br -0.004 6.413 5.844
Br 7.260 2.467 4.061
Br -1.820 5.697 0.027
Br 1.803 3.864 -0.738
Br 3.646 1.296 1.937
Br 5.443 1.751 -1.756
Br 0.089 3.152 2.964
Br 5.350 5.012 1.124
Nd 4.570 8.007 1.443
Nd 2.488 0.863 -0.918
Nd -0.927 2.628 0.100
Nd 6.366 5.536 3.988
Nd 2.720 4.082 2.044
Nd 2.952 7.301 5.006
Nd 0.869 0.157 2.645
```